Computed, not measured: a relaxed structure of MnGeNO2 at the GGA+U level of DFT.

Cell lengths 3.749, 3.749, 3.816 Å; angles 90.00, 90.00, 90.00 degrees
Space group P4/mmm (No. 123)
Symmetry-distinct sites (fractional):
Mn  0.000  0.000  0.000
Ge  0.500  0.500  0.500
N  0.500  0.500  0.000
O  0.000  0.500  0.500

Results
Calculated volume, A^3/atom: 10.730
Energy, Ha/atom: -0.239